No. 1
Compound: LiZn2BH
Source: Alexandria
Functional: GGA-PBE
Structure: optimized geometry

Total DFT energy (no corrections), eV per atom: -1.918
SG: P4/mmm, No. 123

Cell lengths 4.5655, 4.5655, 2.9306 Å; angles 90.00, 90.00, 90.00 degrees
Last column: nearest neighbours and their distance in Å.
Atoms (fractional coordinates):
Li1 0.0000 0.0000 0.0000  2 H 1.47
Zn1 0.0000 0.5000 0.0000  2 Li 2.28
Zn2 0.5000 0.0000 0.0000  2 Li 2.28
B1 0.5000 0.5000 0.5000  8 Zn 2.71, 2 B 2.93
H1 0.0000 0.0000 0.5000  2 Li 1.47



No. 2
Compound: LiZrBH2
Source: Alexandria
Functional: GGA-PBE
Structure: optimized geometry

Total DFT energy (no corrections), eV per atom: -4.615
SG: P4/mmm, No. 123

Cell lengths 3.4149, 3.4149, 4.0236 Å; angles 90.00, 90.00, 90.00 degrees
Last column: nearest neighbours and their distance in Å.
Atoms (fractional coordinates):
Li1 0.0000 0.0000 0.0000  4 H 1.71
Zr1 0.5000 0.5000 0.5000  4 B 2.41, 8 H 2.64
B1 0.0000 0.0000 0.5000  2 Li 2.01
H1 0.0000 0.5000 0.0000  2 Li 1.71
H2 0.5000 0.0000 0.0000  2 Li 1.71